# BaLi3Ge2

BaLi3Ge2 after structural relaxation (GGA-PBE, Alexandria via LeMat-Bulk).

```
BaLi3Ge2
1.0
-0.485 -4.472 0.553
5.918 -2.536 3.253
-1.075 -1.067 9.009
Ba Li Ge
2 6 4
direct
0.124 0.756 0.996
0.876 0.244 0.004
0.754 0.073 0.419
0.058 0.290 0.594
0.409 0.527 0.656
0.591 0.473 0.344
0.942 0.710 0.406
0.246 0.927 0.581
0.594 0.087 0.726
0.406 0.913 0.274
0.216 0.286 0.283
0.784 0.714 0.717
```

- M_tot (μB per formula unit) = 0.0
- energy of formation from the pure elements (eV/atom) = -0.3857
- energy relative to the lowest polymorph listed for this composition (meV/atom) = 0
- crystal system = monoclinic
- calculated volume (Å³/f.u.) = 129.24